# 1
## ZrBeSe (PBE)

Data for a relaxed structure of ZrBeSe.

CIF file:
```
data_ZrBeSe
_chemical_formula_sum 'Zr4 Be4 Se4'
_cell_length_a 6.268
_cell_length_b 6.268
_cell_length_c 6.268
_cell_angle_alpha 90.00
_cell_angle_beta 90.00
_cell_angle_gamma 90.00
_space_group_name_H-M_alt 'F -4 3 m'
_space_group_IT_number 216
_space_group_name_Hall 'F -4 2 3'
loop_
_atom_site_label
_atom_site_fract_x
_atom_site_fract_y
_atom_site_fract_z
_atom_site_occupancy
Zr1 0.000 0.000 0.000 1
Be1 0.250 0.250 0.750 1
Se1 0.250 0.250 0.250 1
```

Energy relative to the elements, uncorrected in kJ/mol of atoms: 21
Mass density in g cm⁻³: 4.8
Energy above the lowest structure with this stoichiometry in kJ per mole of atoms: 55.87
E_tot in eV/f.u.: -15.100

# 2
## ScFePt4 (PBE)

Data for a relaxed structure of ScFePt4.

CIF file:
```
data_ScFePt4
_chemical_formula_sum 'Sc4 Fe4 Pt16'
_cell_length_a 7.434
_cell_length_b 7.434
_cell_length_c 7.434
_cell_angle_alpha 90.00
_cell_angle_beta 90.00
_cell_angle_gamma 90.00
_space_group_name_H-M_alt 'F -4 3 m'
_space_group_IT_number 216
_space_group_name_Hall 'F -4 2 3'
loop_
_atom_site_label
_atom_site_fract_x
_atom_site_fract_y
_atom_site_fract_z
_atom_site_occupancy
Sc1 0.000 0.000 0.000 1
Fe1 0.250 0.250 0.750 1
Pt1 0.125 0.125 0.375 1
```

ΔE_f in meV/atom: -415
Mass density in g cm⁻³: 14.2
E_tot in eV/f.u.: -41.450

# 3
## Ti2NiRh2 (PBE)

Data for a relaxed structure of Ti2NiRh2.

CIF file:
```
data_Ti2NiRh2
_chemical_formula_sum 'Ti8 Ni4 Rh8'
_cell_length_a 4.183
_cell_length_b 13.213
_cell_length_c 5.228
_cell_angle_alpha 90.00
_cell_angle_beta 90.00
_cell_angle_gamma 90.00
_space_group_name_H-M_alt 'C m c 21'
_space_group_IT_number 36
_space_group_name_Hall 'C 2c -2'
loop_
_atom_site_label
_atom_site_fract_x
_atom_site_fract_y
_atom_site_fract_z
_atom_site_occupancy
Ti1 0.000 0.080 0.000 1
Ti2 0.000 0.293 0.185 1
Ni1 0.000 0.115 0.487 1
Rh1 0.000 0.316 0.675 1
Rh2 0.000 0.481 0.275 1
```

ΔE_f in meV/atom: -598
Mass density in g cm⁻³: 8.3
E_tot in eV/f.u.: -39.267

# 4
## TlAgP2O (PBE)

Data for a relaxed structure of TlAgP2O.

CIF file:
```
data_TlAgP2O
_chemical_formula_sum 'Tl1 Ag1 P2 O1'
_cell_length_a 5.234
_cell_length_b 5.234
_cell_length_c 4.178
_cell_angle_alpha 90.00
_cell_angle_beta 90.00
_cell_angle_gamma 90.00
_space_group_name_H-M_alt 'P 4/m m m'
_space_group_IT_number 123
_space_group_name_Hall '-P 4 2'
loop_
_atom_site_label
_atom_site_fract_x
_atom_site_fract_y
_atom_site_fract_z
_atom_site_occupancy
Tl1 0.000 0.000 0.000 1
Ag1 0.500 0.500 0.500 1
P1 0.000 0.500 0.000 1
O1 0.000 0.000 0.500 1
```

Energy relative to the elements, uncorrected in kJ/mol of atoms: 104
Mass density in g cm⁻³: 5.7
Energy above the lowest structure with this stoichiometry in kJ per mole of atoms: 31.12
E_tot in eV/f.u.: -15.595